1.
A plane-wave DFT calculation with PBE-GGA was carried out for crystalline NaRePd at its relaxed geometry.

abc: 4.6958 4.6958 2.6118
angles: 90.00 90.00 120.00
Closest atoms and distances in Å follow each position.
Fractional coordinates of all 3 atoms:
Na (0.0000, 0.0000, 0.0000)  2 Na 2.61
Re (0.3333, 0.6667, 0.5000)  2 Re 2.61, 3 Pd 2.71
Pd (0.6667, 0.3333, 0.5000)  2 Pd 2.61, 3 Re 2.71

Results
ΔE_f ... 0.74 eV/atom
Energy relative to the lowest polymorph listed for this composition ... 491 meV/atom

=====

2.
A plane-wave DFT calculation with PBE-GGA was carried out for crystalline NaZrSe2N at its relaxed geometry.

abc: 5.0526 5.0526 4.0309
angles: 90.00 90.00 90.00
Closest atoms and distances in Å follow each position.
Fractional coordinates of all 5 atoms:
Na (0.0000, 0.0000, 0.0000)  2 N 2.02
Zr (0.5000, 0.5000, 0.5000)  8 Se 3.23, 4 N 3.57
Se (0.0000, 0.5000, 0.0000)  2 Na 2.53
Se (0.5000, 0.0000, 0.0000)  2 Na 2.53
N (0.0000, 0.0000, 0.5000)  2 Na 2.02

Results
Formation energy (no corrections) ... 3.91 eV/f.u.
Energy relative to the lowest polymorph listed for this composition ... 1284 meV/atom

=====

3.
A plane-wave DFT calculation with PBE-GGA was carried out for crystalline TaBeIn2 at its relaxed geometry.

abc: 2.9353 2.9353 9.0428
angles: 90.00 90.00 90.00
Closest atoms and distances in Å follow each position.
Fractional coordinates of all 4 atoms:
Ta (0.0000, 0.0000, 0.0000)  4 Be 2.62
Be (0.5000, 0.5000, 0.1763)  4 Ta 2.62, 4 In 2.90
In (0.0000, 0.0000, 0.4004)  4 Be 2.90, 4 In 2.94
In (0.5000, 0.5000, 0.7424)  4 In 2.94, 4 Ta 3.12

Results
ΔE_f ... 0.32 eV/atom

=====

4.
A plane-wave DFT calculation with PBE-GGA was carried out for crystalline CeNd6Y4 at its relaxed geometry.

abc: 5.6966 5.6966 26.1475
angles: 90.00 90.00 117.68
Closest atoms and distances in Å follow each position.
Fractional coordinates of all 22 atoms:
Ce (0.2103, 0.7897, 0.7500)  3 Nd 3.30-3.34
Ce (0.7897, 0.2103, 0.2500)  3 Nd 3.30-3.34
Nd (0.1227, 0.8773, 0.1814)  5 Nd 3.59-3.83, 4 Y 3.60-3.67, 3 Ce 3.71-3.82
Nd (0.1227, 0.8773, 0.3186)  5 Nd 3.59-3.83, 4 Y 3.60-3.67, 3 Ce 3.71-3.82
Nd (0.1985, 0.8015, 0.6003)  6 Y 3.38-3.72, 1 Nd 3.78
Nd (0.1985, 0.8015, 0.8997)  6 Y 3.38-3.72, 1 Nd 3.78
Nd (0.4513, 0.5487, 0.2500)  2 Y 3.29, 3 Ce 3.30-3.34, 2 Nd 3.67
Nd (0.5000, 0.5000, 0.0000)  8 Y 3.27-3.58
Nd (0.5000, 0.5000, 0.5000)  8 Y 3.27-3.58
Nd (0.5487, 0.4513, 0.7500)  2 Y 3.29, 3 Ce 3.30-3.34, 2 Nd 3.67
Nd (0.8015, 0.1985, 0.1003)  6 Y 3.38-3.72, 1 Nd 3.78
Nd (0.8015, 0.1985, 0.3997)  6 Y 3.38-3.72, 1 Nd 3.78
Nd (0.8773, 0.1227, 0.6814)  5 Nd 3.59-3.83, 4 Y 3.60-3.67, 3 Ce 3.71-3.82
Nd (0.8773, 0.1227, 0.8186)  5 Nd 3.59-3.83, 4 Y 3.60-3.67, 3 Ce 3.71-3.82
Y (0.1514, 0.8486, 0.0435)  8 Nd 3.49-3.79, 2 Y 3.66-3.73
Y (0.1514, 0.8486, 0.4565)  8 Nd 3.49-3.79, 2 Y 3.66-3.73
Y (0.4585, 0.5415, 0.1241)  6 Nd 3.27-3.60, 1 Y 3.66
Y (0.4585, 0.5415, 0.3759)  6 Nd 3.27-3.60, 1 Y 3.66
Y (0.5415, 0.4585, 0.6241)  6 Nd 3.27-3.60, 1 Y 3.66
Y (0.5415, 0.4585, 0.8759)  6 Nd 3.27-3.60, 1 Y 3.66
Y (0.8486, 0.1514, 0.5435)  8 Nd 3.49-3.79, 2 Y 3.66-3.73
Y (0.8486, 0.1514, 0.9565)  8 Nd 3.49-3.79, 2 Y 3.66-3.73

Results
ΔE_f ... 0.14 eV/atom